1.
A plane-wave DFT calculation with PBE was carried out for a relaxed Tb2Sm6Tm3 crystal.

a = 17.054 Å, b = 17.054 Å, c = 17.054 Å
α = 164.00°, β = 164.00°, γ = 22.70°
Fractional positions:
Tb: 0.045 0.045 0.000
Tb: 0.955 0.955 0.000
Sm: 0.121 0.621 0.500
Sm: 0.199 0.199 0.000
Sm: 0.379 0.879 0.500
Sm: 0.621 0.121 0.500
Sm: 0.801 0.801 0.000
Sm: 0.879 0.379 0.500
Tm: 0.302 0.302 0.000
Tm: 0.500 0.500 0.000
Tm: 0.698 0.698 0.000

crystal system: tetragonal
total moment: 0.000 μB per atom
uncorrected energy: -4.337 eV/atom
space-group type: I4/mmm (139)
E above lowest polymorph: 0.220 eV per atom
formation energy: 6.88 kcal/mol of atoms

=====

2.
A plane-wave DFT calculation with PBE was carried out for a relaxed Tb4Sm3Tm4 crystal.

a = 19.786 Å, b = 19.786 Å, c = 19.786 Å
α = 169.69°, β = 165.46°, γ = 17.86°
Fractional positions:
Tb: 0.046 0.046 0.000
Tb: 0.317 0.317 0.000
Tb: 0.683 0.683 0.000
Tb: 0.954 0.954 0.000
Sm: 0.137 0.137 0.000
Sm: 0.500 0.500 0.000
Sm: 0.863 0.863 0.000
Tm: 0.228 0.228 0.000
Tm: 0.409 0.409 0.000
Tm: 0.591 0.591 0.000
Tm: 0.772 0.772 0.000

crystal system: orthorhombic
total moment: 0.000 μB per atom
uncorrected energy: -4.577 eV/atom
space-group type: Immm (71)
E above lowest polymorph: 0.000 eV per atom
formation energy: 0.45 kcal/mol of atoms

=====

3.
A plane-wave DFT calculation with PBE was carried out for a relaxed Tb3Sm7Tm crystal.

a = 7.046 Å, b = 5.612 Å, c = 9.987 Å
α = 90.00°, β = 110.32°, γ = 90.00°
Fractional positions:
Tb: 0.000 0.000 0.000
Tb: 0.280 0.500 0.500
Tb: 0.720 0.500 0.500
Sm: 0.000 0.000 0.500
Sm: 0.145 0.500 0.792
Sm: 0.323 0.500 0.139
Sm: 0.416 0.000 0.329
Sm: 0.584 0.000 0.671
Sm: 0.677 0.500 0.861
Sm: 0.855 0.500 0.208
Tm: 0.500 0.000 0.000

crystal system: monoclinic
total moment: 0.000 μB per atom
uncorrected energy: -4.547 eV/atom
space-group type: P2/m (10)
E above lowest polymorph: 0.000 eV per atom
formation energy: 2.88 kcal/mol of atoms

=====

4.
A plane-wave DFT calculation with PBE was carried out for a relaxed TbSm4Tm4 crystal.

a = 7.962 Å, b = 7.962 Å, c = 7.962 Å
α = 95.70°, β = 95.70°, γ = 143.27°
Fractional positions:
Tb: 0.000 0.000 0.000
Sm: 0.000 0.331 0.331
Sm: 0.000 0.669 0.669
Sm: 0.331 0.000 0.331
Sm: 0.669 0.000 0.669
Tm: 0.334 0.334 0.668
Tm: 0.334 0.666 0.000
Tm: 0.666 0.334 0.000
Tm: 0.666 0.666 0.332

crystal system: tetragonal
total moment: 0.000 μB per atom
uncorrected energy: -4.577 eV/atom
space-group type: I4/mmm (139)
E above lowest polymorph: 0.000 eV per atom
formation energy: 0.51 kcal/mol of atoms